Entry 1:
A plane-wave DFT calculation with meta-GGA SCAN was carried out for a PBEsol-optimized structure of Co7NiP4.

a = 3.4631 Å, b = 5.4530 Å, c = 6.5288 Å
α = 90.30°, β = 90.00°, γ = 90.00°
Last column: magnetic moment on the atom in μB.
Element x y z (fractional)
1 Co 0.5000 0.3519 0.0649  0.10
2 Co 0.5000 0.8579 0.4355  0.23
3 Co 0.0000 0.6409 0.9330  0.05
4 Co 0.0000 0.1512 0.5648  0.15
5 Co 0.5000 0.9625 0.8323  0.94
6 Co 0.0000 0.5383 0.3308  1.01
7 Co 0.0000 0.0269 0.1696  1.08
8 Ni 0.5000 0.4715 0.6672  -0.13
9 P 0.5000 0.7458 0.1221  -0.01
10 P 0.5000 0.2494 0.3762  -0.01
11 P 0.0000 0.2446 0.8814  -0.02
12 P 0.0000 0.7590 0.6222  -0.02

---

Entry 2:
A plane-wave DFT calculation with meta-GGA SCAN was carried out for a PBEsol-optimized structure of K3Ba.

a = 8.5382 Å, b = 8.5382 Å, c = 8.5382 Å
α = 90.00°, β = 90.00°, γ = 90.00°
Last column: magnetic moment on the atom in μB.
Element x y z (fractional)
1 Ba 0.0000 0.0000 0.0000  0.18
2 K 0.5000 0.0000 0.0000  0.02
3 K 0.0000 0.5000 0.0000  0.02
4 K 0.0000 0.0000 0.5000  0.02

---

| no. | uncorrected energy (eV/atom) | volume (Å³/f.u.) |
| --- | --- | --- |
| 1 | -15.34 | 123.3 |
| 2 | -15.52 | 622.4 |